Entry 1:
VASP calculation (PBE-GGA) on a relaxed Ac3La3In2Hg crystal.

Cell lengths 4.0032, 9.5532, 9.5532 Å; angles 120.00, 90.00, 90.00 degrees
Fractional coordinates of all 9 atoms:
In: 0.5000 0.6667 0.3333
Ac: 0.5000 0.0000 0.7245
La: 0.0000 0.0000 0.3969
Ac: 0.5000 0.2755 0.2755
La: 0.0000 0.6031 0.6031
La: 0.0000 0.3969 0.0000
In: 0.5000 0.3333 0.6667
Ac: 0.5000 0.7245 0.0000
Hg: 0.0000 0.0000 0.0000

- Calculated formation energy: -2.76 eV/f.u.
- Space group: No. 189
- Density: 8019 kg/m³
- Magnetic moment: 0.001 μB/cell

---

Entry 2:
VASP calculation (PBE-GGA) on a relaxed Ac2LaIn3Hg6 crystal.

Cell lengths 4.4500, 4.4500, 20.7105 Å; angles 90.00, 90.00, 90.00 degrees
Fractional coordinates of all 12 atoms:
Hg: 0.0000 0.5000 0.3838
Hg: 0.0000 0.0000 0.1350
In: 0.0000 0.0000 0.0000
Hg: 0.0000 0.0000 0.8650
Hg: 0.5000 0.0000 0.6162
Ac: 0.5000 0.5000 0.7892
In: 0.0000 0.0000 0.7172
La: 0.5000 0.5000 0.5000
Hg: 0.0000 0.5000 0.6162
Hg: 0.5000 0.0000 0.3838
In: 0.0000 0.0000 0.2828
Ac: 0.5000 0.5000 0.2108

- Calculated formation energy: -1.59 eV/f.u.
- Space group: No. 123
- Density: 8668 kg/m³
- Magnetic moment: 0.000 μB/cell

---

Entry 3:
VASP calculation (PBE-GGA) on a relaxed AcLaInHg crystal.

Cell lengths 5.6806, 5.6806, 5.6806 Å; angles 60.00, 60.00, 60.00 degrees
Each line ends with the local moment (μB).
Fractional coordinates of all 4 atoms:
Ac: 0.7500 0.7500 0.7500  0.10
Hg: 0.0000 0.0000 0.0000  0.03
In: 0.5000 0.5000 0.5000  0.00
La: 0.2500 0.2500 0.2500  0.15

- Calculated formation energy: -1.83 eV/f.u.
- Space group: No. 216
- Density: 8728 kg/m³
- Magnetic moment: 0.698 μB/cell
- Energy above the lowest structure with this stoichiometry: 14 meV/atom

---

Entry 4:
VASP calculation (PBE-GGA) on a relaxed Li2AcIn2Hg2 crystal.

Cell lengths 4.7974, 4.7974, 9.1949 Å; angles 74.88, 74.88, 60.00 degrees
Fractional coordinates of all 7 atoms:
Ac: 0.0000 0.0000 0.0000
Li: 0.1419 0.1419 0.5744
Hg: 0.4413 0.4413 0.6762
Hg: 0.5587 0.5587 0.3238
In: 0.2547 0.2547 0.2358
Li: 0.8581 0.8581 0.4256
In: 0.7452 0.7452 0.7642

- Calculated formation energy: -2.35 eV/f.u.
- Space group: No. 166
- Density: 8283 kg/m³
- Magnetic moment: 0.000 μB/cell

---

Entry 5:
VASP calculation (PBE-GGA) on a relaxed LiAcIn2Hg crystal.

Cell lengths 4.7378, 4.7378, 6.8824 Å; angles 110.13, 110.13, 90.00 degrees
Fractional coordinates of all 5 atoms:
In: 0.6174 0.6174 0.2348
Li: 0.2500 0.7500 0.5000
Ac: 0.0000 0.0000 0.0000
In: 0.3826 0.3826 0.7652
Hg: 0.7500 0.2500 0.5000

- Calculated formation energy: -1.81 eV/f.u.
- Space group: No. 119
- Density: 8173 kg/m³
- Magnetic moment: 0.000 μB/cell

---

Entry 6:
VASP calculation (PBE-GGA) on a relaxed LiAc3In2Hg6 crystal.

Cell lengths 6.6259, 6.6259, 9.2027 Å; angles 90.00, 90.00, 120.00 degrees
Fractional coordinates of all 12 atoms:
In: 0.6667 0.3333 0.9963
In: 0.3333 0.6667 0.0037
Li: 0.0000 0.0000 0.5000
Hg: 0.1741 0.3481 0.2889
Hg: 0.8259 0.6519 0.7111
Hg: 0.8259 0.1741 0.7111
Ac: 0.3333 0.6667 0.6221
Hg: 0.6519 0.8259 0.2889
Ac: 0.0000 0.0000 0.0000
Hg: 0.3481 0.1741 0.7111
Hg: 0.1741 0.8259 0.2889
Ac: 0.6667 0.3333 0.3779

- Calculated formation energy: -3.87 eV/f.u.
- Space group: No. 164
- Density: 10067 kg/m³
- Magnetic moment: 0.000 μB/cell

---

Entry 7:
VASP calculation (PBE-GGA) on a relaxed Li3Ac2InHg4 crystal.

Cell lengths 4.7734, 4.7734, 11.0626 Å; angles 90.00, 90.00, 90.00 degrees
Fractional coordinates of all 10 atoms:
Hg: 0.5000 0.0000 0.6500
In: 0.5000 0.5000 0.5000
Li: 0.5000 0.0000 0.8864
Hg: 0.5000 0.5000 0.0000
Ac: 0.5000 0.0000 0.2452
Li: 0.0000 0.0000 0.5000
Hg: 0.0000 0.0000 0.0000
Ac: 0.0000 0.5000 0.7548
Hg: 0.0000 0.5000 0.3500
Li: 0.0000 0.5000 0.1136

- Calculated formation energy: -3.79 eV/f.u.
- Space group: No. 115
- Density: 9170 kg/m³
- Magnetic moment: 0.443 μB/cell

---

Entry 8:
VASP calculation (PBE-GGA) on a relaxed LiAc2In3Hg4 crystal.

Cell lengths 4.8284, 4.8284, 11.7716 Å; angles 90.00, 90.00, 90.00 degrees
Fractional coordinates of all 10 atoms:
In: 0.5000 0.0000 0.8607
Ac: 0.0000 0.5000 0.7586
Hg: 0.5000 0.0000 0.6246
In: 0.0000 0.5000 0.1393
Ac: 0.5000 0.0000 0.2414
In: 0.0000 0.0000 0.5000
Hg: 0.5000 0.5000 0.0000
Hg: 0.0000 0.5000 0.3754
Li: 0.5000 0.5000 0.5000
Hg: 0.0000 0.0000 0.0000

- Calculated formation energy: -3.55 eV/f.u.
- Space group: No. 115
- Density: 9728 kg/m³
- Magnetic moment: 0.000 μB/cell

---

Entry 9:
VASP calculation (PBE-GGA) on a relaxed LiAc2In6Hg crystal.

Cell lengths 7.1971, 7.1971, 13.2507 Å; angles 74.24, 74.24, 60.00 degrees
Fractional coordinates of all 20 atoms:
Hg: 0.5727 0.5727 0.2818
In: 0.9212 0.3341 0.4107
In: 0.3341 0.3341 0.4107
In: 0.7824 0.7824 0.0962
Hg: 0.4273 0.4273 0.7182
In: 0.2176 0.2176 0.9038
In: 0.0788 0.6659 0.5893
In: 0.3391 0.7824 0.0962
Ac: 0.8932 0.8932 0.3205
Ac: 0.2814 0.2814 0.1557
In: 0.6659 0.0788 0.5893
In: 0.3341 0.9212 0.4107
In: 0.6609 0.2176 0.9038
In: 0.7824 0.3391 0.0962
Li: 0.5000 0.5000 0.5000
Ac: 0.7186 0.7186 0.8443
In: 0.2176 0.6609 0.9038
In: 0.6659 0.6659 0.5893
Ac: 0.1068 0.1068 0.6795
Li: 0.0000 0.0000 0.0000

- Calculated formation energy: -2.41 eV/f.u.
- Space group: No. 166
- Density: 7946 kg/m³
- Magnetic moment: 0.000 μB/cell

---

Entry 10:
VASP calculation (PBE-GGA) on a relaxed Li3Ac2In4Hg crystal.

Cell lengths 4.8104, 4.8104, 11.1840 Å; angles 90.00, 90.00, 90.00 degrees
Fractional coordinates of all 10 atoms:
Ac: 0.0000 0.5000 0.7475
Li: 0.5000 0.0000 0.8801
In: 0.5000 0.0000 0.6434
In: 0.0000 0.5000 0.3566
Ac: 0.5000 0.0000 0.2525
In: 0.0000 0.0000 0.0000
Li: 0.0000 0.0000 0.5000
Li: 0.0000 0.5000 0.1199
In: 0.5000 0.5000 0.0000
Hg: 0.5000 0.5000 0.5000

- Calculated formation energy: -3.57 eV/f.u.
- Space group: No. 115
- Density: 7281 kg/m³
- Magnetic moment: 0.000 μB/cell

---

Entry 11:
VASP calculation (PBE-GGA) on a relaxed LiAcInHg3 crystal.

Cell lengths 6.8268, 6.7645, 7.6706 Å; angles 116.16, 90.00, 90.00 degrees
Fractional coordinates of all 12 atoms:
Hg: 0.5000 0.7263 0.0000
Ac: 0.7500 0.3056 0.6113
Hg: 0.2500 0.1383 0.2767
Hg: 0.0000 0.2737 0.0000
Ac: 0.2500 0.6944 0.3887
Li: 0.2500 0.9359 0.8719
Li: 0.7500 0.0641 0.1281
In: 0.7500 0.6488 0.2976
Hg: 0.7500 0.8617 0.7233
Hg: 0.0000 0.7263 0.0000
Hg: 0.5000 0.2737 0.0000
In: 0.2500 0.3512 0.7024

- Calculated formation energy: -1.40 eV/f.u.
- Space group: No. 63
- Density: 9929 kg/m³
- Magnetic moment: 0.000 μB/cell

---

Entry 12:
VASP calculation (PBE-GGA) on a relaxed Li2AcIn2Hg crystal.

Cell lengths 4.9143, 4.9143, 6.4914 Å; angles 90.00, 90.00, 90.00 degrees
Fractional coordinates of all 6 atoms:
In: 0.5000 0.5000 0.2681
Li: 0.0000 0.5000 0.0000
Ac: 0.0000 0.0000 0.5000
Li: 0.5000 0.0000 0.0000
Hg: 0.0000 0.0000 0.0000
In: 0.5000 0.5000 0.7319

- Calculated formation energy: -1.54 eV/f.u.
- Space group: No. 123
- Density: 7109 kg/m³
- Magnetic moment: 0.000 μB/cell